[1]
Pm4NdCo2 | PBE | relaxed

Calculated values
energy of formation from the pure elements = 0.13 eV per atom
E above lowest polymorph = 98.9 kJ/mol of formula units
calculated volume = 27.19 A^3/atom
space group = Cmmm, No. 65
magnetic moment = 0.105 μB per atom
VASP energy = -5.297 eV per atom

Lattice parameters (Å, degrees): 4.747 16.975 4.724 90.00 90.00 90.00
Element x y z (fractional)
Pm1 0.000 0.160 0.000
Pm2 0.000 0.335 0.500
Pm3 0.000 0.665 0.500
Pm4 0.000 0.840 0.000
Pm5 0.500 0.165 0.500
Pm6 0.500 0.340 0.000
Pm7 0.500 0.660 0.000
Pm8 0.500 0.835 0.500
Nd1 0.000 0.500 0.000
Nd2 0.500 0.000 0.000
Co1 0.000 0.065 0.500
Co2 0.000 0.935 0.500
Co3 0.500 0.435 0.500
Co4 0.500 0.565 0.500

[2]
Pm2NdCo | PBE | relaxed

Calculated values
energy of formation from the pure elements = -0.06 eV per atom
E above lowest polymorph = 8.2 kJ/mol of formula units
calculated volume = 28.14 A^3/atom
space group = Cmcm, No. 63
magnetic moment = 0.000 μB per atom
VASP energy = -5.399 eV per atom

Lattice parameters (Å, degrees): 3.746 12.169 9.877 90.00 90.00 90.00
Element x y z (fractional)
Pm1 0.000 0.139 0.073
Pm2 0.000 0.139 0.427
Pm3 0.000 0.861 0.573
Pm4 0.000 0.861 0.927
Pm5 0.500 0.361 0.573
Pm6 0.500 0.361 0.927
Pm7 0.500 0.639 0.073
Pm8 0.500 0.639 0.427
Nd1 0.000 0.410 0.250
Nd2 0.000 0.590 0.750
Nd3 0.500 0.090 0.750
Nd4 0.500 0.910 0.250
Co1 0.000 0.264 0.750
Co2 0.000 0.736 0.250
Co3 0.500 0.236 0.250
Co4 0.500 0.764 0.750

[3]
Pm3Nd2Co2 | PBE | relaxed

Calculated values
energy of formation from the pure elements = -0.07 eV per atom
calculated volume = 27.24 A^3/atom
space group = C2/m, No. 12
magnetic moment = 0.000 μB per atom
VASP energy = -5.496 eV per atom

Lattice parameters (Å, degrees): 12.327 3.759 9.144 90.00 115.84 90.00
Element x y z (fractional)
Pm1 0.000 0.000 0.000
Pm2 0.117 0.000 0.423
Pm3 0.383 0.500 0.577
Pm4 0.500 0.500 0.000
Pm5 0.617 0.500 0.423
Pm6 0.883 0.000 0.577
Nd1 0.173 0.500 0.805
Nd2 0.327 0.000 0.195
Nd3 0.673 0.000 0.805
Nd4 0.827 0.500 0.195
Co1 0.179 0.500 0.245
Co2 0.321 0.000 0.755
Co3 0.679 0.000 0.245
Co4 0.821 0.500 0.755

[4]
PmNd3Co8 | PBE | relaxed

Calculated values
energy of formation from the pure elements = -0.04 eV per atom
calculated volume = 16.27 A^3/atom
space group = R3m, No. 160
magnetic moment = 0.607 μB per atom
VASP energy = -6.362 eV per atom

Lattice parameters (Å, degrees): 8.949 8.949 8.949 33.58 33.58 33.58
Element x y z (fractional)
Pm1 0.000 0.000 0.000
Nd1 0.125 0.125 0.125
Nd2 0.500 0.500 0.500
Nd3 0.625 0.625 0.625
Co1 0.062 0.062 0.564
Co2 0.062 0.562 0.562
Co3 0.062 0.564 0.062
Co4 0.313 0.313 0.313
Co5 0.562 0.062 0.562
Co6 0.562 0.562 0.062
Co7 0.564 0.062 0.062
Co8 0.812 0.812 0.812

[5]
Pm3Nd3Co2 | PBE | relaxed

Calculated values
energy of formation from the pure elements = 0.02 eV per atom
calculated volume = 29.43 A^3/atom
space group = Cmcm, No. 63
magnetic moment = 0.000 μB per atom
VASP energy = -5.328 eV per atom

Lattice parameters (Å, degrees): 7.023 7.023 18.717 90.00 90.00 149.33
Element x y z (fractional)
Pm1 0.053 0.947 0.750
Pm2 0.177 0.823 0.066
Pm3 0.177 0.823 0.434
Pm4 0.823 0.177 0.566
Pm5 0.823 0.177 0.934
Pm6 0.947 0.053 0.250
Nd1 0.223 0.777 0.250
Nd2 0.435 0.565 0.088
Nd3 0.435 0.565 0.412
Nd4 0.565 0.435 0.588
Nd5 0.565 0.435 0.912
Nd6 0.777 0.223 0.750
Co1 0.198 0.802 0.638
Co2 0.198 0.802 0.862
Co3 0.802 0.198 0.138
Co4 0.802 0.198 0.362

[6]
PmNdCo4 | PBE | relaxed

Calculated values
energy of formation from the pure elements = -0.09 eV per atom
E above lowest polymorph = 0.0 kJ/mol of formula units
calculated volume = 18.36 A^3/atom
space group = Immm, No. 71
magnetic moment = 0.472 μB per atom
VASP energy = -6.410 eV per atom

Lattice parameters (Å, degrees): 3.893 6.752 8.380 90.00 90.00 90.00
Element x y z (fractional)
Pm1 0.000 0.000 0.000
Pm2 0.500 0.500 0.500
Nd1 0.000 0.000 0.500
Nd2 0.500 0.500 0.000
Co1 0.000 0.333 0.251
Co2 0.000 0.333 0.749
Co3 0.000 0.667 0.251
Co4 0.000 0.667 0.749
Co5 0.500 0.167 0.249
Co6 0.500 0.167 0.751
Co7 0.500 0.833 0.249
Co8 0.500 0.833 0.751

[7]
Pm3NdCo8 | PBE | relaxed

Calculated values
energy of formation from the pure elements = -0.06 eV per atom
calculated volume = 16.16 A^3/atom
space group = R3m, No. 160
magnetic moment = 0.614 μB per atom
VASP energy = -6.378 eV per atom

Lattice parameters (Å, degrees): 8.926 8.926 8.926 33.59 33.59 33.59
Element x y z (fractional)
Pm1 0.000 0.000 0.000
Pm2 0.125 0.125 0.125
Pm3 0.625 0.625 0.625
Nd1 0.500 0.500 0.500
Co1 0.061 0.563 0.563
Co2 0.062 0.062 0.563
Co3 0.062 0.563 0.062
Co4 0.312 0.312 0.312
Co5 0.563 0.061 0.563
Co6 0.563 0.062 0.062
Co7 0.563 0.563 0.061
Co8 0.812 0.812 0.812

[8]
PmNdCo3 | PBE | relaxed

Calculated values
energy of formation from the pure elements = -0.09 eV per atom
calculated volume = 19.76 A^3/atom
space group = Cmcm, No. 63
magnetic moment = 0.375 μB per atom
VASP energy = -6.257 eV per atom

Lattice parameters (Å, degrees): 12.194 12.194 3.932 90.00 90.00 160.25
Element x y z (fractional)
Pm1 0.069 0.931 0.750
Pm2 0.931 0.069 0.250
Nd1 0.203 0.797 0.250
Nd2 0.797 0.203 0.750
Co1 0.336 0.664 0.250
Co2 0.382 0.618 0.750
Co3 0.477 0.523 0.750
Co4 0.523 0.477 0.250
Co5 0.618 0.382 0.250
Co6 0.664 0.336 0.750

[9]
Pm2NdCo | PBE | relaxed

Calculated values
energy of formation from the pure elements = 0.04 eV per atom
E above lowest polymorph = 43.2 kJ/mol of formula units
calculated volume = 29.93 A^3/atom
space group = R3m, No. 160
magnetic moment = 0.000 μB per atom
VASP energy = -5.308 eV per atom

Lattice parameters (Å, degrees): 3.864 3.864 27.780 90.00 90.00 120.00
Element x y z (fractional)
Pm1 0.000 0.000 0.000
Pm2 0.000 0.000 0.221
Pm3 0.333 0.667 0.667
Pm4 0.333 0.667 0.888
Pm5 0.667 0.333 0.333
Pm6 0.667 0.333 0.554
Nd1 0.000 0.000 0.445
Nd2 0.333 0.667 0.112
Nd3 0.667 0.333 0.778
Co1 0.000 0.000 0.610
Co2 0.333 0.667 0.277
Co3 0.667 0.333 0.944

[10]
Pm2NdCo | PBE | relaxed

Calculated values
energy of formation from the pure elements = -0.08 eV per atom
E above lowest polymorph = 0.0 kJ/mol of formula units
calculated volume = 27.97 A^3/atom
space group = Pnma, No. 62
magnetic moment = 0.000 μB per atom
VASP energy = -5.420 eV per atom

Lattice parameters (Å, degrees): 7.088 9.833 6.420 90.00 90.00 90.00
Element x y z (fractional)
Pm1 0.170 0.070 0.176
Pm2 0.170 0.430 0.176
Pm3 0.330 0.570 0.676
Pm4 0.330 0.930 0.676
Pm5 0.670 0.070 0.324
Pm6 0.670 0.430 0.324
Pm7 0.830 0.570 0.824
Pm8 0.830 0.930 0.824
Nd1 0.045 0.250 0.646
Nd2 0.455 0.750 0.146
Nd3 0.545 0.250 0.854
Nd4 0.955 0.750 0.354
Co1 0.115 0.750 0.938
Co2 0.385 0.250 0.438
Co3 0.615 0.750 0.562
Co4 0.885 0.250 0.062

[11]
Pm6NdCo3 | PBE | relaxed

Calculated values
energy of formation from the pure elements = 0.02 eV per atom
calculated volume = 27.25 A^3/atom
space group = Cmc2_1, No. 36
magnetic moment = 0.000 μB per atom
VASP energy = -5.440 eV per atom

Lattice parameters (Å, degrees): 8.728 8.728 7.573 90.00 90.00 109.14
Element x y z (fractional)
Pm1 0.007 0.993 0.500
Pm2 0.013 0.383 0.346
Pm3 0.269 0.375 0.720
Pm4 0.346 0.654 0.090
Pm5 0.375 0.269 0.220
Pm6 0.383 0.013 0.846
Pm7 0.617 0.987 0.346
Pm8 0.625 0.731 0.720
Pm9 0.654 0.346 0.590
Pm10 0.731 0.625 0.220
Pm11 0.987 0.617 0.846
Pm12 0.993 0.007 0.000
Nd1 0.249 0.751 0.502
Nd2 0.751 0.249 0.002
Co1 0.053 0.720 0.185
Co2 0.280 0.947 0.185
Co3 0.436 0.564 0.412
Co4 0.564 0.436 0.912
Co5 0.720 0.053 0.685
Co6 0.947 0.280 0.685

[12]
PmNdCoPt | PBE | relaxed

Calculated values
energy of formation from the pure elements = -0.49 eV per atom
calculated volume = 22.07 A^3/atom
space group = F-43m, No. 216
magnetic moment = 0.102 μB per atom
VASP energy = -6.155 eV per atom

Lattice parameters (Å, degrees): 7.068 7.068 7.068 90.00 90.00 90.00
Element x y z (fractional)
Pm1 0.000 0.000 0.000
Pm2 0.000 0.500 0.500
Pm3 0.500 0.000 0.500
Pm4 0.500 0.500 0.000
Nd1 0.000 0.000 0.500
Nd2 0.000 0.500 0.000
Nd3 0.500 0.000 0.000
Nd4 0.500 0.500 0.500
Co1 0.250 0.250 0.250
Co2 0.250 0.750 0.750
Co3 0.750 0.250 0.750
Co4 0.750 0.750 0.250
Pt1 0.250 0.250 0.750
Pt2 0.250 0.750 0.250
Pt3 0.750 0.250 0.250
Pt4 0.750 0.750 0.750